DFT (PBE-GGA) results for crystalline Pm2TaGeN5 at its relaxed geometry.

Lattice parameters (Å, degrees): 3.2383 14.4685 10.1131 90.00 90.00 90.00
Last column: nearest neighbours and their distance in Å.
Space group Cmc2_1 (No. 36)
Symmetry-distinct sites (fractional):
Pm (0.0000, 0.1113, 0.0000) [4 per cell]  8 N 2.51-2.72
Pm (0.0000, 0.1259, 0.6144) [4 per cell]  6 N 2.43-2.59
Ta (0.0000, 0.2198, 0.3279) [4 per cell]  3 N 1.91-2.11
Ge (0.0000, 0.4505, 0.7649) [4 per cell]  4 N 1.84-2.04
N (0.0000, 0.0482, 0.3629) [4 per cell]  2 Ge 1.90
N (0.0000, 0.2873, 0.9614) [4 per cell]  2 Ta 2.11
N (0.0000, 0.3187, 0.6919) [4 per cell]  1 Ge 2.04, 2 Ta 2.20
N (0.0000, 0.3513, 0.3118) [4 per cell]  1 Ta 1.91
N (0.0000, 0.4984, 0.0985) [4 per cell]  1 Ge 1.84

ρ	8.60	g/cm³
formation energy from raw total energies	-1.00	eV per atom